[1]
A plane-wave DFT calculation with PBE was carried out for crystalline ScSnGe2Pt at its relaxed geometry.

```
ScSnGe2Pt
1.0
5.1734 0.0000 0.0000
0.0000 5.1734 0.0000
0.0000 0.0000 4.9307
Sc Sn Ge Pt
1 1 2 1
Cartesian
0.0000 0.0000 0.0000
2.5867 2.5867 2.4654
0.0000 2.5867 2.4654
2.5867 0.0000 2.4654
2.5867 2.5867 0.0000
```

V, Å³/cell: 132
Energy relative to the elements, kJ/mol of atoms: 58.7
Raw total energy, eV for the cell shown: -22.57
Density, Mg/m³: 6.3



[2]
A plane-wave DFT calculation with PBE was carried out for crystalline Sr2ScGe3Pt4 at its relaxed geometry.

```
Sr2ScGe3Pt4
1.0
4.3674 0.0000 0.0000
0.0000 4.3674 0.0000
0.0000 0.0000 10.8482
Sr Sc Ge Pt
2 1 3 4
Cartesian
0.0000 2.1837 2.5877
2.1837 0.0000 8.2605
0.0000 0.0000 5.4241
0.0000 2.1837 9.5071
2.1837 0.0000 1.3411
2.1837 2.1837 5.4241
0.0000 0.0000 0.0000
0.0000 2.1837 6.9877
2.1837 0.0000 3.8605
2.1837 2.1837 0.0000
```

V, Å³/cell: 207
Energy relative to the elements, kJ/mol of atoms: -85.8
Raw total energy, eV for the cell shown: -56.61
Density, Mg/m³: 9.8



[3]
A plane-wave DFT calculation with PBE was carried out for crystalline TbScGePt at its relaxed geometry.

```
TbScGePt
1.0
0.0000 3.4556 3.4556
3.4556 0.0000 3.4556
3.4556 3.4556 0.0000
Tb Sc Ge Pt
1 1 1 1
Cartesian
0.0000 0.0000 0.0000
3.4556 3.4556 3.4556
1.7278 1.7278 1.7278
5.1834 5.1834 5.1834
```

V, Å³/cell: 83
Energy relative to the elements, kJ/mol of atoms: -87.4
Raw total energy, eV for the cell shown: -25.24
Density, Mg/m³: 9.5



[4]
A plane-wave DFT calculation with PBE was carried out for crystalline ThScGe2Pt2 at its relaxed geometry.

```
ThScGe2Pt2
1.0
4.3843 0.0000 0.0000
-2.1921 3.7969 0.0000
0.0000 0.0000 7.0588
Th Sc Ge Pt
1 1 2 2
Cartesian
0.0000 0.0000 0.0000
0.0000 0.0000 3.5294
0.0000 2.5313 1.9545
2.1921 1.2656 5.1043
0.0000 2.5313 4.9533
2.1921 1.2656 2.1055
```

V, Å³/cell: 118
Energy relative to the elements, kJ/mol of atoms: -104.2
Raw total energy, eV for the cell shown: -41.55
Density, Mg/m³: 11.5